Entry 1:
Entry from the Alexandria database: LaHg2Br after structural relaxation (GGA-PBE).

Lattice parameters (Å, degrees): 3.9173 5.2035 5.9790 90.00 90.00 90.00
Last column: nearest neighbours and their distance in Å.
Space group Pmmm (No. 47)
Inequivalent atoms, fractional coordinates:
La: 0.0000 0.0000 0.0000 [1 per cell]  2 Br 2.99
Hg: 0.5000 0.5000 0.2466 [2 per cell]  2 Hg 2.95-3.03
Br: 0.0000 0.0000 0.5000 [1 per cell]  2 La 2.99

Results
**E above lowest polymorph**: 0.1225 eV/atom
**Density**: 8.45 g/cm3
**E_form (uncorrected)**: -2.33 eV per formula unit
**V**: 122 Å³/cell

Entry 2:
Entry from the Alexandria database: NbAuS2Cl after structural relaxation (GGA-PBE).

Lattice parameters (Å, degrees): 4.8966 4.8966 4.7342 90.00 90.00 90.00
Last column: nearest neighbours and their distance in Å.
Space group P4/mmm (No. 123)
Inequivalent atoms, fractional coordinates:
Nb: 0.0000 0.0000 0.0000 [1 per cell]  8 S 3.41, 4 Cl 3.46
Au: 0.5000 0.5000 0.5000 [1 per cell]  2 Cl 2.37, 4 S 2.45
S: 0.0000 0.5000 0.5000 [2 per cell]  2 Au 2.45
Cl: 0.5000 0.5000 0.0000 [1 per cell]  2 Au 2.37

Results
**E above lowest polymorph**: 0.8750 eV/atom
**Density**: 5.70 g/cm3
**E_form (uncorrected)**: 3.84 eV per formula unit
**V**: 114 Å³/cell

Entry 3:
Entry from the Alexandria database: Li2SmSc2Pb2 after structural relaxation (GGA-PBE).

Lattice parameters (Å, degrees): 4.7658 4.7658 25.5163 90.00 90.00 120.00
Last column: nearest neighbours and their distance in Å.
Space group R-3m (No. 166, hexagonal axes)
Inequivalent atoms, fractional coordinates:
Li: 0.0000 0.0000 0.0717 [6 per cell]  3 Pb 2.80, 3 Sc 2.93
Sm: 0.0000 0.0000 0.5000 [3 per cell]  6 Pb 3.35, 2 Sc 3.43, 6 Li 3.67
Sc: 0.0000 0.0000 0.3655 [6 per cell]  3 Li 2.93, 4 Pb 3.14-3.16, 3 Sc 3.21
Pb: 0.0000 0.0000 0.2415 [6 per cell]  3 Li 2.80

Results
**Density**: 6.64 g/cm3
**V**: 502 Å³/cell

Calculated total DFT energy (no corrections), -2.384 -3.922 -4.417 eV/atom (same order as the records).